<A>
A relaxed Pm3Y3Er crystal. Source: the Alexandria database, functional GGA-PBE.

Summary:
N(E_F)   22.01 states/eV per cell
Crystal system   trigonal

Unit cell a=14.811 b=14.811 c=14.811 alpha=24.35 beta=24.35 gamma=24.35
Fractional coordinates of all 14 atoms:
Pm  0.132  0.462  0.801
Pm  0.199  0.868  0.538
Pm  0.462  0.801  0.132
Pm  0.538  0.199  0.868
Pm  0.801  0.132  0.462
Pm  0.868  0.538  0.199
Y  0.065  0.732  0.398
Y  0.268  0.602  0.935
Y  0.398  0.065  0.732
Y  0.602  0.935  0.268
Y  0.732  0.398  0.065
Y  0.935  0.268  0.602
Er  0.333  0.333  0.333
Er  0.667  0.667  0.667

<B>
A relaxed Pm3Y3Er crystal. Source: the Alexandria database, functional GGA-PBE.

Summary:
N(E_F)   26.52 states/eV per cell
Crystal system   hexagonal

Unit cell a=9.656 b=9.656 c=5.762 alpha=90.00 beta=90.00 gamma=120.00
Fractional coordinates of all 14 atoms:
Pm  0.049  0.241  0.250
Pm  0.192  0.951  0.250
Pm  0.241  0.192  0.750
Pm  0.759  0.808  0.250
Pm  0.808  0.049  0.750
Pm  0.951  0.759  0.750
Y  0.095  0.477  0.750
Y  0.382  0.905  0.750
Y  0.477  0.382  0.250
Y  0.523  0.618  0.750
Y  0.618  0.095  0.250
Y  0.905  0.523  0.250
Er  0.333  0.667  0.250
Er  0.667  0.333  0.750

Most stable: <B> (next structure +14.2 kJ/mol of atoms)

<A>
A relaxed Pm3YEr4 crystal. Source: the Alexandria database, functional GGA-PBE.

Summary:
N(E_F)   28.34 states/eV per cell
Crystal system   orthorhombic

Unit cell a=11.366 b=7.300 c=6.291 alpha=90.00 beta=90.00 gamma=90.00
Fractional coordinates of all 16 atoms:
Pm  0.000  0.128  0.000
Pm  0.249  0.873  0.835
Pm  0.251  0.127  0.335
Pm  0.500  0.872  0.500
Pm  0.749  0.127  0.335
Pm  0.751  0.873  0.835
Y  0.000  0.871  0.498
Y  0.500  0.129  0.998
Er  0.000  0.377  0.500
Er  0.000  0.621  0.999
Er  0.249  0.621  0.332
Er  0.251  0.379  0.832
Er  0.500  0.379  0.499
Er  0.500  0.623  0.000
Er  0.749  0.379  0.832
Er  0.751  0.621  0.332

<B>
A relaxed Pm3YEr4 crystal. Source: the Alexandria database, functional GGA-PBE.

Summary:
N(E_F)   14.20 states/eV per cell
Crystal system   monoclinic

Unit cell a=11.877 b=11.877 c=6.703 alpha=106.33 beta=106.33 gamma=16.86
Fractional coordinates of all 8 atoms:
Pm  0.000  0.000  0.000
Pm  0.127  0.127  0.874
Pm  0.873  0.873  0.126
Y  0.500  0.500  0.500
Er  0.125  0.125  0.386
Er  0.260  0.260  0.269
Er  0.740  0.740  0.731
Er  0.875  0.875  0.614

Most stable: <A> (next structure +13.7 kJ/mol of atoms)

<A>
A relaxed Pm5Y3Er crystal. Source: the Alexandria database, functional GGA-PBE.

Summary:
N(E_F)   28.38 states/eV per cell
Crystal system   monoclinic

Unit cell a=9.620 b=9.620 c=9.938 alpha=120.48 beta=120.48 gamma=74.72
Fractional coordinates of all 18 atoms:
Pm  0.097  0.601  0.257
Pm  0.228  0.228  0.237
Pm  0.247  0.753  0.000
Pm  0.276  0.276  0.955
Pm  0.399  0.903  0.743
Pm  0.601  0.097  0.257
Pm  0.724  0.724  0.045
Pm  0.753  0.247  0.000
Pm  0.772  0.772  0.763
Pm  0.903  0.399  0.743
Y  0.000  0.000  0.500
Y  0.009  0.009  0.825
Y  0.484  0.484  0.646
Y  0.500  0.500  0.000
Y  0.516  0.516  0.354
Y  0.991  0.991  0.175
Er  0.248  0.248  0.595
Er  0.752  0.752  0.405

<B>
A relaxed Pm5Y3Er crystal. Source: the Alexandria database, functional GGA-PBE.

Summary:
N(E_F)   22.83 states/eV per cell
Crystal system   orthorhombic

Unit cell a=7.708 b=7.708 c=11.059 alpha=90.00 beta=90.00 gamma=68.18
Fractional coordinates of all 18 atoms:
Pm  0.034  0.684  0.027
Pm  0.034  0.684  0.473
Pm  0.162  0.838  0.750
Pm  0.316  0.966  0.027
Pm  0.316  0.966  0.473
Pm  0.684  0.034  0.527
Pm  0.684  0.034  0.973
Pm  0.838  0.162  0.250
Pm  0.966  0.316  0.527
Pm  0.966  0.316  0.973
Y  0.286  0.297  0.250
Y  0.297  0.286  0.750
Y  0.500  0.500  0.000
Y  0.500  0.500  0.500
Y  0.703  0.714  0.250
Y  0.714  0.703  0.750
Er  0.257  0.743  0.250
Er  0.743  0.257  0.750

Most stable: <B> (next structure +25.3 kJ/mol of atoms)

<A>
A relaxed PmY7Er4 crystal. Source: the Alexandria database, functional GGA-PBE.

Summary:
N(E_F)   22.31 states/eV per cell
Crystal system   monoclinic

Unit cell a=6.700 b=6.700 c=12.662 alpha=114.51 beta=114.51 gamma=51.81
Fractional coordinates of all 12 atoms:
Pm  0.000  0.000  0.000
Y  0.058  0.058  0.328
Y  0.211  0.211  0.922
Y  0.365  0.365  0.496
Y  0.500  0.500  0.000
Y  0.635  0.635  0.504
Y  0.789  0.789  0.078
Y  0.942  0.942  0.672
Er  0.251  0.251  0.685
Er  0.365  0.365  0.226
Er  0.635  0.635  0.774
Er  0.749  0.749  0.315

<B>
A relaxed PmY7Er4 crystal. Source: the Alexandria database, functional GGA-PBE.

Summary:
N(E_F)   22.30 states/eV per cell
Crystal system   triclinic

Unit cell a=6.505 b=6.821 c=9.056 alpha=86.20 beta=76.46 gamma=82.03
Fractional coordinates of all 12 atoms:
Pm  0.000  0.000  0.000
Y  0.000  0.500  0.000
Y  0.192  0.104  0.386
Y  0.317  0.697  0.640
Y  0.484  0.252  0.049
Y  0.516  0.748  0.951
Y  0.683  0.303  0.360
Y  0.808  0.896  0.614
Er  0.162  0.612  0.313
Er  0.357  0.193  0.713
Er  0.643  0.807  0.287
Er  0.838  0.388  0.687

Most stable: <B> (next structure +19.7 kJ/mol of atoms)

<A>
A relaxed Pm2Y7Er crystal. Source: the Alexandria database, functional GGA-PBE.

Summary:
N(E_F)   15.82 states/eV per cell
Crystal system   orthorhombic

Unit cell a=14.856 b=14.856 c=3.525 alpha=90.00 beta=90.00 gamma=154.62
Fractional coordinates of all 10 atoms:
Pm  0.208  0.792  0.000
Pm  0.792  0.208  0.000
Y  0.000  0.000  0.000
Y  0.157  0.352  0.000
Y  0.314  0.686  0.500
Y  0.352  0.157  0.000
Y  0.648  0.843  0.000
Y  0.686  0.314  0.500
Y  0.843  0.648  0.000
Er  0.500  0.500  0.500

<B>
A relaxed Pm2Y7Er crystal. Source: the Alexandria database, functional GGA-PBE.

Summary:
N(E_F)   13.79 states/eV per cell
Crystal system   orthorhombic

Unit cell a=9.848 b=9.848 c=5.351 alpha=90.00 beta=90.00 gamma=130.34
Fractional coordinates of all 10 atoms:
Pm  0.234  0.766  0.000
Pm  0.766  0.234  0.000
Y  0.000  0.000  0.000
Y  0.097  0.903  0.500
Y  0.211  0.408  0.000
Y  0.408  0.211  0.000
Y  0.592  0.789  0.000
Y  0.789  0.592  0.000
Y  0.903  0.097  0.500
Er  0.500  0.500  0.500

Most stable: <A> (next structure +47.7 kJ/mol of atoms)

<A>
A relaxed Pm7Y2Er crystal. Source: the Alexandria database, functional GGA-PBE.

Summary:
N(E_F)   15.93 states/eV per cell
Crystal system   orthorhombic

Unit cell a=10.345 b=10.345 c=3.526 alpha=90.00 beta=90.00 gamma=108.76
Fractional coordinates of all 10 atoms:
Pm  0.000  0.000  0.000
Pm  0.116  0.373  0.000
Pm  0.176  0.824  0.500
Pm  0.373  0.116  0.000
Pm  0.627  0.884  0.000
Pm  0.824  0.176  0.500
Pm  0.884  0.627  0.000
Y  0.332  0.668  0.000
Y  0.668  0.332  0.000
Er  0.500  0.500  0.500

<B>
A relaxed Pm7Y2Er crystal. Source: the Alexandria database, functional GGA-PBE.

Summary:
N(E_F)   14.70 states/eV per cell
Crystal system   orthorhombic

Unit cell a=9.758 b=9.758 c=5.386 alpha=90.00 beta=90.00 gamma=127.25
Fractional coordinates of all 10 atoms:
Pm  0.000  0.000  0.000
Pm  0.212  0.428  0.000
Pm  0.302  0.698  0.500
Pm  0.428  0.212  0.000
Pm  0.572  0.788  0.000
Pm  0.698  0.302  0.500
Pm  0.788  0.572  0.000
Y  0.207  0.793  0.000
Y  0.793  0.207  0.000
Er  0.500  0.500  0.500

Most stable: <A> (next structure +24.4 kJ/mol of atoms)

<A>
A relaxed Pm2Y5Er5 crystal. Source: the Alexandria database, functional GGA-PBE.

Summary:
N(E_F)   22.35 states/eV per cell
Crystal system   monoclinic

Unit cell a=8.978 b=8.978 c=9.675 alpha=122.57 beta=122.57 gamma=36.53
Fractional coordinates of all 12 atoms:
Pm  0.125  0.125  0.454
Pm  0.875  0.875  0.546
Y  0.000  0.000  0.000
Y  0.125  0.125  0.787
Y  0.250  0.250  0.245
Y  0.750  0.750  0.755
Y  0.875  0.875  0.213
Er  0.376  0.376  0.040
Er  0.376  0.376  0.706
Er  0.500  0.500  0.500
Er  0.624  0.624  0.294
Er  0.624  0.624  0.960

<B>
A relaxed Pm2Y5Er5 crystal. Source: the Alexandria database, functional GGA-PBE.

Summary:
N(E_F)   17.94 states/eV per cell
Crystal system   monoclinic

Unit cell a=7.954 b=7.954 c=11.254 alpha=115.08 beta=115.08 gamma=36.85
Fractional coordinates of all 12 atoms:
Pm  0.083  0.083  0.249
Pm  0.917  0.917  0.751
Y  0.334  0.334  0.500
Y  0.415  0.415  0.249
Y  0.500  0.500  0.000
Y  0.585  0.585  0.751
Y  0.666  0.666  0.500
Er  0.000  0.000  0.500
Er  0.168  0.168  0.001
Er  0.249  0.249  0.751
Er  0.751  0.751  0.249
Er  0.832  0.832  0.999

Most stable: <B> (next structure +3.9 kJ/mol of atoms)

<A>
A relaxed PmY3Er4 crystal. Source: the Alexandria database, functional GGA-PBE.

Summary:
N(E_F)   27.41 states/eV per cell
Crystal system   orthorhombic

Unit cell a=11.245 b=7.271 c=6.273 alpha=90.00 beta=90.00 gamma=90.00
Fractional coordinates of all 16 atoms:
Pm  0.000  0.128  0.000
Pm  0.500  0.872  0.500
Y  0.000  0.873  0.499
Y  0.250  0.128  0.336
Y  0.250  0.872  0.836
Y  0.500  0.127  0.999
Y  0.750  0.128  0.336
Y  0.750  0.872  0.836
Er  0.000  0.377  0.504
Er  0.000  0.622  0.003
Er  0.249  0.623  0.335
Er  0.251  0.377  0.835
Er  0.500  0.378  0.503
Er  0.500  0.623  0.004
Er  0.749  0.377  0.835
Er  0.751  0.623  0.335

<B>
A relaxed PmY3Er4 crystal. Source: the Alexandria database, functional GGA-PBE.

Summary:
N(E_F)   14.37 states/eV per cell
Crystal system   monoclinic

Unit cell a=11.874 b=11.874 c=6.669 alpha=106.28 beta=106.28 gamma=16.72
Fractional coordinates of all 8 atoms:
Pm  0.000  0.000  0.000
Y  0.373  0.373  0.627
Y  0.500  0.500  0.500
Y  0.627  0.627  0.373
Er  0.240  0.240  0.234
Er  0.374  0.374  0.117
Er  0.626  0.626  0.883
Er  0.760  0.760  0.766

Most stable: <A> (next structure +16.5 kJ/mol of atoms)

<A>
A relaxed Pm4YEr7 crystal. Source: the Alexandria database, functional GGA-PBE.

Summary:
N(E_F)   20.15 states/eV per cell
Crystal system   monoclinic

Unit cell a=6.730 b=6.730 c=12.749 alpha=115.27 beta=115.27 gamma=51.78
Fractional coordinates of all 12 atoms:
Pm  0.139  0.139  0.277
Pm  0.272  0.272  0.830
Pm  0.728  0.728  0.170
Pm  0.861  0.861  0.723
Y  0.500  0.500  0.500
Er  0.000  0.000  0.500
Er  0.132  0.132  0.996
Er  0.287  0.287  0.576
Er  0.434  0.434  0.185
Er  0.566  0.566  0.815
Er  0.713  0.713  0.424
Er  0.868  0.868  0.004

<B>
A relaxed Pm4YEr7 crystal. Source: the Alexandria database, functional GGA-PBE.

Summary:
N(E_F)   19.17 states/eV per cell
Crystal system   triclinic

Unit cell a=6.541 b=6.820 c=9.019 alpha=84.92 beta=77.22 gamma=81.57
Fractional coordinates of all 12 atoms:
Pm  0.136  0.307  0.286
Pm  0.338  0.885  0.692
Pm  0.662  0.115  0.308
Pm  0.864  0.693  0.714
Y  0.500  0.500  0.000
Er  0.013  0.252  0.951
Er  0.182  0.798  0.356
Er  0.313  0.394  0.617
Er  0.500  0.000  0.000
Er  0.687  0.606  0.383
Er  0.818  0.202  0.644
Er  0.987  0.748  0.049

Most stable: <B> (next structure +18.3 kJ/mol of atoms)

<A>
A relaxed Pm3Y4Er2 crystal. Source: the Alexandria database, functional GGA-PBE.

Summary:
N(E_F)   12.81 states/eV per cell
Crystal system   monoclinic

Unit cell a=8.013 b=8.013 c=8.002 alpha=107.34 beta=107.34 gamma=36.90
Fractional coordinates of all 9 atoms:
Pm  0.000  0.000  0.000
Pm  0.110  0.110  0.665
Pm  0.890  0.890  0.335
Y  0.222  0.222  0.334
Y  0.334  0.334  0.000
Y  0.666  0.666  0.000
Y  0.778  0.778  0.666
Er  0.444  0.444  0.666
Er  0.556  0.556  0.334

<B>
A relaxed Pm3Y4Er2 crystal. Source: the Alexandria database, functional GGA-PBE.

Summary:
N(E_F)   27.68 states/eV per cell
Crystal system   monoclinic

Unit cell a=10.156 b=10.156 c=6.083 alpha=95.80 beta=95.80 gamma=70.06
Fractional coordinates of all 18 atoms:
Pm  0.100  0.900  0.750
Pm  0.228  0.438  0.919
Pm  0.438  0.228  0.419
Pm  0.562  0.772  0.581
Pm  0.772  0.562  0.081
Pm  0.900  0.100  0.250
Y  0.082  0.345  0.354
Y  0.315  0.587  0.483
Y  0.345  0.082  0.854
Y  0.413  0.685  0.017
Y  0.587  0.315  0.983
Y  0.655  0.918  0.146
Y  0.685  0.413  0.517
Y  0.918  0.655  0.646
Er  0.021  0.746  0.182
Er  0.254  0.979  0.318
Er  0.746  0.021  0.682
Er  0.979  0.254  0.818

Most stable: <A> (next structure +7.7 kJ/mol of atoms)